A plane-wave DFT calculation with PBE+U was carried out for a relaxed structure of Rb2CoBiF6.

Cell lengths 6.3758, 6.3758, 6.3721 Å; angles 59.98, 59.98, 90.00 degrees
Sites, in units of the cell vectors:
F1 0.2528 0.7472 0.0000
F2 0.7472 0.7472 0.0000
F3 0.7472 0.2528 0.0000
F4 0.2532 0.2532 0.4936
F5 0.2528 0.2528 0.0000
F6 0.7468 0.7468 0.5064
Rb1 0.7500 0.2500 0.5000
Rb2 0.2500 0.7500 0.5000
Bi1 0.0000 0.0000 0.0000
Co1 0.5000 0.5000 0.0000

Results
DFT total energy = -4.485 eV per atom
Magnetic moment = 2.00 μB per formula unit
Symmetry = I4/mmm (139)